No. 1
First-principles (PBE) data for a geometry-optimized NbBCl2 structure, as listed in Alexandria.

Cell and atoms, written as CIF:
```
data_NbBCl2
_chemical_formula_sum 'Nb4 B4 Cl8'
_space_group_name_H-M_alt 'I -4 2 d'
_space_group_IT_number 122
_space_group_name_Hall 'I -4 2bw'
_cell_length_a 9.311
_cell_length_b 9.311
_cell_length_c 4.393
_cell_angle_alpha 90.00
_cell_angle_beta 90.00
_cell_angle_gamma 90.00
loop_
_atom_site_label
_atom_site_type_symbol
_atom_site_fract_x
_atom_site_fract_y
_atom_site_fract_z
_atom_site_occupancy
Nb1 Nb 0.000 0.000 0.000 1
B1 B 0.000 0.000 0.500 1
Cl1 Cl 0.081 0.250 0.125 1
```

Summary:
DOS(E_F), states/eV per atom: 1.002
Energy above the lowest structure with this stoichiometry, meV per atom: 0

---

No. 2
First-principles (PBE) data for a geometry-optimized Nd3Th3WN8 structure, as listed in Alexandria.

Cell and atoms, written as CIF:
```
data_Nd3Th3WN8
_chemical_formula_sum 'Nd9 Th9 W3 N24'
_space_group_name_H-M_alt 'R -3 m'
_space_group_IT_number 166
_space_group_name_Hall '-R 3 2"'
_cell_length_a 7.0911
_cell_length_b 7.0911
_cell_length_c 17.4839
_cell_angle_alpha 90.00
_cell_angle_beta 90.00
_cell_angle_gamma 120.00
loop_
_atom_site_label
_atom_site_type_symbol
_atom_site_fract_x
_atom_site_fract_y
_atom_site_fract_z
_atom_site_occupancy
Nd1 Nd 0.0000 0.5000 0.0000 1
Th1 Th 0.0000 0.5000 0.5000 1
W1 W 0.0000 0.0000 0.5000 1
N1 N 0.0000 0.0000 0.2465 1
N2 N 0.0458 0.5229 0.2341 1
```

Summary:
DOS(E_F), states/eV per atom: 0.290
Uncorrected energy, eV/atom: -8.99

---

No. 3
First-principles (PBE) data for a geometry-optimized Y2TiBi structure, as listed in Alexandria.

Cell and atoms, written as CIF:
```
data_Y2TiBi
_chemical_formula_sum 'Y8 Ti4 Bi4'
_space_group_name_H-M_alt 'I -4 2 d'
_space_group_IT_number 122
_space_group_name_Hall 'I -4 2bw'
_cell_length_a 8.465
_cell_length_b 8.465
_cell_length_c 6.291
_cell_angle_alpha 90.00
_cell_angle_beta 90.00
_cell_angle_gamma 90.00
loop_
_atom_site_label
_atom_site_type_symbol
_atom_site_fract_x
_atom_site_fract_y
_atom_site_fract_z
_atom_site_occupancy
Y1 Y 0.247 0.250 0.125 1
Ti1 Ti 0.000 0.000 0.000 1
Bi1 Bi 0.000 0.000 0.500 1
```

Summary:
Energy of formation, eV/atom: 0.21
DOS(E_F), states/eV per atom: 1.269

---

No. 4
First-principles (PBE) data for a geometry-optimized Ce2PrErSb4 structure, as listed in Alexandria.

Cell and atoms, written as CIF:
```
data_Ce2PrErSb4
_chemical_formula_sum 'Ce2 Pr1 Er1 Sb4'
_space_group_name_H-M_alt 'P 1 2/m 1'
_space_group_IT_number 10
_space_group_name_Hall '-P 2y'
_cell_length_a 7.753
_cell_length_b 4.476
_cell_length_c 7.762
_cell_angle_alpha 90.00
_cell_angle_beta 109.45
_cell_angle_gamma 90.00
loop_
_atom_site_label
_atom_site_type_symbol
_atom_site_fract_x
_atom_site_fract_y
_atom_site_fract_z
_atom_site_occupancy
Ce1 Ce 0.000 0.000 0.000 1
Ce2 Ce 0.500 0.500 0.000 1
Pr1 Pr 0.000 0.500 0.500 1
Er1 Er 0.500 0.000 0.500 1
Sb1 Sb 0.257 0.000 0.751 1
Sb2 Sb 0.258 0.500 0.254 1
```

Summary:
DOS(E_F), states/eV per atom: 1.783
Uncorrected energy, eV/atom: -5.80

---

No. 5
First-principles (PBE) data for a geometry-optimized TcRuNO2 structure, as listed in Alexandria.

Cell and atoms, written as CIF:
```
data_TcRuNO2
_chemical_formula_sum 'Tc1 Ru1 N1 O2'
_space_group_name_H-M_alt 'P 4/m m m'
_space_group_IT_number 123
_space_group_name_Hall '-P 4 2'
_cell_length_a 3.869
_cell_length_b 3.869
_cell_length_c 3.930
_cell_angle_alpha 90.00
_cell_angle_beta 90.00
_cell_angle_gamma 90.00
loop_
_atom_site_label
_atom_site_type_symbol
_atom_site_fract_x
_atom_site_fract_y
_atom_site_fract_z
_atom_site_occupancy
Tc1 Tc 0.000 0.000 0.000 1
Ru1 Ru 0.500 0.500 0.500 1
N1 N 0.000 0.000 0.500 1
O1 O 0.000 0.500 0.000 1
```

Summary:
DOS(E_F), states/eV per atom: 0.751
Uncorrected energy, eV/atom: -7.34

---

No. 6
First-principles (PBE) data for a geometry-optimized ScTlMo2 structure, as listed in Alexandria.

Cell and atoms, written as CIF:
```
data_ScTlMo2
_chemical_formula_sum 'Sc4 Tl4 Mo8'
_space_group_name_H-M_alt 'F m -3 m'
_space_group_IT_number 225
_space_group_name_Hall '-F 4 2 3'
_cell_length_a 6.697
_cell_length_b 6.697
_cell_length_c 6.697
_cell_angle_alpha 90.00
_cell_angle_beta 90.00
_cell_angle_gamma 90.00
loop_
_atom_site_label
_atom_site_type_symbol
_atom_site_fract_x
_atom_site_fract_y
_atom_site_fract_z
_atom_site_occupancy
Sc1 Sc 0.000 0.000 0.000 1
Tl1 Tl 0.000 0.000 0.500 1
Mo1 Mo 0.250 0.250 0.250 1
```

Summary:
Energy of formation, eV/atom: 0.66
DOS(E_F), states/eV per atom: 1.488
Energy above the lowest structure with this stoichiometry, meV per atom: 599

---

No. 7
First-principles (PBE) data for a geometry-optimized Fe2ReIr structure, as listed in Alexandria.

Cell and atoms, written as CIF:
```
data_Fe2ReIr
_chemical_formula_sum 'Fe6 Re3 Ir3'
_space_group_name_H-M_alt 'R -3 m'
_space_group_IT_number 166
_space_group_name_Hall '-R 3 2"'
_cell_length_a 2.6927
_cell_length_b 2.6927
_cell_length_c 25.5371
_cell_angle_alpha 90.00
_cell_angle_beta 90.00
_cell_angle_gamma 120.00
loop_
_atom_site_label
_atom_site_type_symbol
_atom_site_fract_x
_atom_site_fract_y
_atom_site_fract_z
_atom_site_occupancy
Fe1 Fe 0.0000 0.0000 0.2503 1
Re1 Re 0.0000 0.0000 0.0000 1
Ir1 Ir 0.0000 0.0000 0.5000 1
```

Summary:
Energy of formation, eV/atom: 0.11
DOS(E_F), states/eV per atom: 1.577

---

No. 8
First-principles (PBE) data for a geometry-optimized MnZnW3 structure, as listed in Alexandria.

Cell and atoms, written as CIF:
```
data_MnZnW3
_chemical_formula_sum 'Mn1 Zn1 W3'
_space_group_name_H-M_alt 'P m -3 m'
_space_group_IT_number 221
_space_group_name_Hall '-P 4 2 3'
_cell_length_a 4.488
_cell_length_b 4.488
_cell_length_c 4.488
_cell_angle_alpha 90.00
_cell_angle_beta 90.00
_cell_angle_gamma 90.00
loop_
_atom_site_label
_atom_site_type_symbol
_atom_site_fract_x
_atom_site_fract_y
_atom_site_fract_z
_atom_site_occupancy
Mn1 Mn 0.000 0.000 0.000 1
Zn1 Zn 0.500 0.500 0.500 1
W1 W 0.000 0.500 0.500 1
```

Summary:
Energy of formation, eV/atom: 2.29
DOS(E_F), states/eV per atom: 1.961
Energy above the lowest structure with this stoichiometry, meV per atom: 905